First-principles (PBE) data for an optimized crystal structure of La2NdDy3As6, as listed in Alexandria.

a b c (Å): 18.4344 4.2339 8.4579
angles (deg): 90.00 103.19 90.00
Last column: nearest neighbours and their distance in Å.
Space group C2/m (No. 12)
Symmetry-distinct sites (fractional):
La1 0.1661 0.0000 0.3322 (multiplicity 4)  6 As 3.04-3.06
Nd1 0.0000 0.5000 0.0000 (multiplicity 2)  6 As 3.03
Dy1 0.0000 0.5000 0.5000 (multiplicity 2)  6 As 2.94-2.96
Dy2 0.1666 0.0000 0.8337 (multiplicity 4)  6 As 2.93-2.96
As1 0.0031 0.0000 0.7456 (multiplicity 4)  3 Dy 2.93-2.96, 2 Nd 3.03, 1 La 3.04
As2 0.1636 0.5000 0.5908 (multiplicity 4)  3 Dy 2.94, 3 La 3.05-3.06
As3 0.1685 0.5000 0.0750 (multiplicity 4)  3 Dy 2.94-2.96, 1 Nd 3.03, 2 La 3.04

Calculated values
- volume (Å³/atom) = 26.779
- crystal system = monoclinic
- energy of formation (kJ/mol of atoms) = -148.1



First-principles (PBE) data for an optimized crystal structure of La2NdDyAs4, as listed in Alexandria.

a b c (Å): 7.4220 4.2897 7.4233
angles (deg): 90.00 109.46 90.00
Last column: nearest neighbours and their distance in Å.
Space group P2/m (No. 10)
Symmetry-distinct sites (fractional):
La1 0.0000 0.0000 0.0000 (multiplicity 1)  6 As 3.05
La2 0.0000 0.5000 0.5000 (multiplicity 1)  6 As 3.09
Nd1 0.5000 0.0000 0.5000 (multiplicity 1)  6 As 3.01-3.02
Dy1 0.5000 0.5000 0.0000 (multiplicity 1)  6 As 2.98
As1 0.2573 0.5000 0.2483 (multiplicity 2)  1 Dy 2.98, 2 Nd 3.02, 3 La 3.05-3.09
As2 0.2602 0.0000 0.7575 (multiplicity 2)  2 Dy 2.98, 1 Nd 3.01, 3 La 3.05-3.09

Calculated values
- volume (Å³/atom) = 27.855
- crystal system = monoclinic
- energy of formation (kJ/mol of atoms) = -148.6



First-principles (PBE) data for an optimized crystal structure of La2DyPaAs4, as listed in Alexandria.

a b c (Å): 7.2817 4.2291 7.3731
angles (deg): 90.00 109.36 90.00
Last column: nearest neighbours and their distance in Å.
Space group P2/m (No. 10)
Symmetry-distinct sites (fractional):
La1 0.0000 0.0000 0.0000 (multiplicity 1)  6 As 3.08-3.09
La2 0.5000 0.5000 0.0000 (multiplicity 1)  6 As 3.05
Dy1 0.0000 0.5000 0.5000 (multiplicity 1)  6 As 2.93-2.94
Pa1 0.5000 0.0000 0.5000 (multiplicity 1)  6 As 2.89-2.91
As1 0.2488 0.0000 0.7322 (multiplicity 2)  1 Pa 2.89, 2 Dy 2.94, 3 La 3.05-3.09
As2 0.2591 0.5000 0.2692 (multiplicity 2)  2 Pa 2.91, 1 Dy 2.93, 3 La 3.05-3.08

Calculated values
- volume (Å³/atom) = 26.776
- crystal system = monoclinic
- energy of formation (kJ/mol of atoms) = -138.5



First-principles (PBE) data for an optimized crystal structure of La2DyAs4Pd3, as listed in Alexandria.

a b c (Å): 4.4948 4.4948 10.8351
angles (deg): 90.00 90.00 90.00
Last column: nearest neighbours and their distance in Å.
Space group P-4m2 (No. 115)
Symmetry-distinct sites (fractional):
La1 0.0000 0.5000 0.2155 (multiplicity 2)  8 As 3.24-3.48, 5 Pd 3.37-3.56
Dy1 0.0000 0.0000 0.5000 (multiplicity 1)  4 As 2.80
As1 0.0000 0.0000 0.0000 (multiplicity 1)  4 Pd 2.56
As2 0.0000 0.5000 0.6543 (multiplicity 2)  3 Pd 2.52-2.80, 2 Dy 2.80
As3 0.5000 0.5000 0.0000 (multiplicity 1)  4 Pd 2.56
Pd1 0.0000 0.5000 0.8871 (multiplicity 2)  5 As 2.52-2.56
Pd2 0.5000 0.5000 0.5000 (multiplicity 1)  4 As 2.80

Calculated values
- volume (Å³/atom) = 21.890
- crystal system = tetragonal
- energy of formation (kJ/mol of atoms) = -98.1



First-principles (PBE) data for an optimized crystal structure of La2PmDyAs4, as listed in Alexandria.

a b c (Å): 7.4063 4.2809 7.4085
angles (deg): 90.00 109.46 90.00
Last column: nearest neighbours and their distance in Å.
Space group P2/m (No. 10)
Symmetry-distinct sites (fractional):
La1 0.0000 0.0000 0.0000 (multiplicity 1)  6 As 3.05
La2 0.0000 0.5000 0.5000 (multiplicity 1)  6 As 3.08
Pm1 0.5000 0.0000 0.5000 (multiplicity 1)  6 As 3.00
Dy1 0.5000 0.5000 0.0000 (multiplicity 1)  6 As 2.97
As1 0.2587 0.5000 0.2496 (multiplicity 2)  1 Dy 2.97, 2 Pm 3.00, 3 La 3.05-3.08
As2 0.2608 0.0000 0.7568 (multiplicity 2)  2 Dy 2.97, 1 Pm 3.00, 3 La 3.05-3.08

Calculated values
- volume (Å³/atom) = 27.683
- crystal system = monoclinic
- energy of formation (kJ/mol of atoms) = -149.0



First-principles (PBE) data for an optimized crystal structure of LaPm2Dy3As6, as listed in Alexandria.

a b c (Å): 7.2820 12.6102 7.2754
angles (deg): 90.00 109.47 90.00
Last column: nearest neighbours and their distance in Å.
Space group C2/m (No. 12)
Symmetry-distinct sites (fractional):
La1 0.0000 0.0000 0.0000 (multiplicity 2)  6 As 3.03
Pm1 0.0000 0.3332 0.0000 (multiplicity 4)  6 As 3.00
Dy1 0.0000 0.1662 0.5000 (multiplicity 4)  6 As 2.92-2.94
Dy2 0.0000 0.5000 0.5000 (multiplicity 2)  6 As 2.92-2.95
As1 0.2452 0.3317 0.7406 (multiplicity 8)  3 Dy 2.92-2.95, 2 Pm 3.00, 1 La 3.03
As2 0.2502 0.0000 0.7409 (multiplicity 4)  3 Dy 2.92-2.94, 2 Pm 3.00, 1 La 3.03

Calculated values
- volume (Å³/atom) = 26.245
- crystal system = monoclinic
- energy of formation (kJ/mol of atoms) = -147.8



- volume of number 4 (La2DyAs4Pd3)?
  21.890 Å³/atom



- The highest volume belongs to which entry?
  La2NdDyAs4